Below is a relaxed structure of Sr4PaCu3O12, with properties calculated at the PBE level.

Formation energy (no corrections) ... -183.5 kJ/mol of atoms
Magnetic moment ... 0.73 μB/f.u.

Lattice parameters (Å, degrees): 6.9401 6.9401 6.9401 109.47 109.47 109.47
With the nearest neighbours (Å) after each atom.
Fractional positions:
Sr1 0.5000 0.5000 0.5000  12 O 2.83-2.84
Sr2 0.0000 0.0000 0.5000  12 O 2.83-2.84
Sr3 0.5000 0.0000 0.0000  12 O 2.83-2.84
Sr4 0.0000 0.5000 0.0000  12 O 2.83-2.84
Pa1 0.0000 0.0000 0.0000  6 O 2.11
Cu1 0.5000 0.0000 0.5000  6 O 1.90-2.00
Cu2 0.5000 0.5000 0.0000  6 O 1.90-2.00
Cu3 0.0000 0.5000 0.5000  6 O 1.90-2.00
O1 0.2500 0.5000 0.7500  2 Cu 2.00
O2 0.7369 0.0000 0.7369  1 Cu 1.90, 1 Pa 2.11
O3 0.2631 0.0000 0.2631  1 Cu 1.90, 1 Pa 2.11
O4 0.7500 0.5000 0.2500  2 Cu 2.00
O5 0.7369 0.7369 0.0000  1 Cu 1.90, 1 Pa 2.11
O6 0.2631 0.2631 0.0000  1 Cu 1.90, 1 Pa 2.11
O7 0.7500 0.2500 0.5000  2 Cu 2.00
O8 0.2500 0.7500 0.5000  2 Cu 2.00
O9 0.5000 0.2500 0.7500  2 Cu 2.00
O10 0.0000 0.7369 0.7369  1 Cu 1.90, 1 Pa 2.11
O11 0.5000 0.7500 0.2500  2 Cu 2.00
O12 0.0000 0.2631 0.2631  1 Cu 1.90, 1 Pa 2.11